## TiMoSe2N (PBE)

Data for a relaxed TiMoSe2N crystal.

Properties
- Relative energy among the computed polymorphs: 0.00 kJ/mol of atoms
- VASP energy: -33.05 eV per cell

abc: 5.0639 5.0639 3.7603
angles: 90.00 90.00 90.00
With the nearest neighbours (Å) after each atom.
Fractional positions:
Ti  0.0000  0.0000  0.0000  8 Se 3.15
Mo  0.5000  0.5000  0.5000  2 N 1.88
Se  0.0000  0.5000  0.5000  2 Mo 2.53
Se  0.5000  0.0000  0.5000  2 Mo 2.53
N  0.5000  0.5000  0.0000  2 Mo 1.88